Entry 1:
# CrCuPb2, relaxed, DFT PBE-GGA
data_CrCuPb2
_symmetry_space_group_name_H-M 'P 1'
_symmetry_Int_Tables_number 1
_cell_length_a 5.842
_cell_length_b 5.842
_cell_length_c 4.946
_cell_angle_alpha 72.46
_cell_angle_beta 72.46
_cell_angle_gamma 33.03
loop_
_symmetry_equiv_pos_as_xyz
'x,y,z'
loop_
_atom_site_label
_atom_site_fract_x
_atom_site_fract_y
_atom_site_fract_z
_atom_site_occupancy
Cu1 0.783 0.783 0.764 1
Pb1 0.231 0.231 0.304 1
Pb2 0.016 0.016 0.948 1
Cr1 0.470 0.470 0.484 1
# DFT total energy = -4.845 eV per atom
# Total moment = 3.74 μB per cell
# Volume = 87 Å³/cell
# ΔH_f (0 K) = 0.439 eV/atom
# Excess energy over the best structure of this formula in the dataset = 85 meV per atom

Entry 2:
# NaPrEuPb, relaxed, DFT PBE-GGA
data_NaPrEuPb
_symmetry_space_group_name_H-M 'P 1'
_symmetry_Int_Tables_number 1
_cell_length_a 5.651
_cell_length_b 5.651
_cell_length_c 5.651
_cell_angle_alpha 60.00
_cell_angle_beta 60.00
_cell_angle_gamma 60.00
loop_
_symmetry_equiv_pos_as_xyz
'x,y,z'
loop_
_atom_site_label
_atom_site_fract_x
_atom_site_fract_y
_atom_site_fract_z
_atom_site_occupancy
Pb1 0.750 0.750 0.750 1
Eu1 0.500 0.500 0.500 1
Na1 0.250 0.250 0.250 1
Pr1 0.000 0.000 0.000 1
# DFT total energy = -5.284 eV per atom
# Total moment = 7.76 μB per cell
# Volume = 128 Å³/cell
# ΔH_f (0 K) = -0.263 eV/atom

Entry 3:
# InH3Se, relaxed, DFT PBE-GGA
data_InH3Se
_symmetry_space_group_name_H-M 'P 1'
_symmetry_Int_Tables_number 1
_cell_length_a 3.979
_cell_length_b 3.979
_cell_length_c 3.979
_cell_angle_alpha 90.00
_cell_angle_beta 90.00
_cell_angle_gamma 90.00
loop_
_symmetry_equiv_pos_as_xyz
'x,y,z'
loop_
_atom_site_label
_atom_site_fract_x
_atom_site_fract_y
_atom_site_fract_z
_atom_site_occupancy
H1 0.000 0.000 0.500 1
H2 0.000 0.500 0.000 1
H3 0.500 0.000 0.000 1
Se1 0.500 0.500 0.500 1
In1 0.000 0.000 0.000 1
# DFT total energy = -2.518 eV per atom
# Total moment = 1.12 μB per cell
# Volume = 63 Å³/cell
# Excess energy over the best structure of this formula in the dataset = 189 meV per atom

Entry 4:
# Ac3Si2Pt, relaxed, DFT PBE-GGA
data_Ac3Si2Pt
_symmetry_space_group_name_H-M 'P 1'
_symmetry_Int_Tables_number 1
_cell_length_a 4.522
_cell_length_b 12.534
_cell_length_c 12.415
_cell_angle_alpha 90.00
_cell_angle_beta 90.00
_cell_angle_gamma 90.00
loop_
_symmetry_equiv_pos_as_xyz
'x,y,z'
loop_
_atom_site_label
_atom_site_fract_x
_atom_site_fract_y
_atom_site_fract_z
_atom_site_occupancy
Si1 0.250 0.813 0.969 1
Si2 0.750 0.187 0.031 1
Si3 0.250 0.687 0.469 1
Si4 0.250 0.008 0.302 1
Si5 0.750 0.992 0.698 1
Si6 0.750 0.313 0.531 1
Si7 0.250 0.492 0.802 1
Si8 0.750 0.508 0.198 1
Pt1 0.250 0.367 0.627 1
Pt2 0.250 0.133 0.127 1
Pt3 0.750 0.633 0.373 1
Pt4 0.750 0.867 0.873 1
Ac1 0.750 0.944 0.116 1
Ac2 0.250 0.693 0.208 1
Ac3 0.250 0.124 0.561 1
Ac4 0.750 0.876 0.439 1
Ac5 0.250 0.376 0.061 1
Ac6 0.750 0.307 0.792 1
Ac7 0.750 0.193 0.292 1
Ac8 0.250 0.807 0.708 1
Ac9 0.750 0.624 0.939 1
Ac10 0.250 0.056 0.884 1
Ac11 0.750 0.556 0.616 1
Ac12 0.250 0.444 0.384 1
# DFT total energy = -5.623 eV per atom
# Total moment = 0.04 μB per cell
# Volume = 704 Å³/cell
# ΔE_f (raw) = -0.75 eV/atom

Question: What is the total moment in the third record?
Answer: 1.12 μB per cell